# 1
Compound: Li3ZnS
Source: Alexandria
Functional: PBEsol
Structure: optimized geometry

- Raw formation energy: -0.53 eV per atom
- SG: Pm-3m, No. 221
- Crystal system: cubic

abc: 4.5703 4.5703 4.5703
angles: 90.00 90.00 90.00
Closest atoms and distances in Å follow each position.
Fractional coordinates of all 5 atoms:
Zn1 0.5000 0.5000 0.5000  12 Li 3.23
S1 0.0000 0.0000 0.0000  6 Li 2.29
Li1 0.0000 0.5000 0.0000  2 S 2.29
Li2 0.0000 0.0000 0.5000  2 S 2.29
Li3 0.5000 0.0000 0.0000  2 S 2.29

***

# 2
Compound: Li2FeRu
Source: Alexandria
Functional: PBEsol
Structure: optimized geometry

- Energy of formation from the pure elements: 0.60 eV per atom
- SG: P4/mmm, No. 123
- Crystal system: tetragonal
- Excess energy over the best structure of this formula in the dataset: 362 meV per atom

abc: 3.1342 3.1342 4.9073
angles: 90.00 90.00 90.00
Closest atoms and distances in Å follow each position.
Fractional coordinates of all 4 atoms:
Fe1 0.5000 0.5000 0.5000  2 Ru 2.45, 8 Li 2.54
Li1 0.0000 0.0000 0.7532  2 Li 2.42-2.48, 4 Ru 2.53, 4 Fe 2.54
Li2 0.0000 0.0000 0.2468  2 Li 2.42-2.48, 4 Ru 2.53, 4 Fe 2.54
Ru1 0.5000 0.5000 0.0000  2 Fe 2.45, 8 Li 2.53

***

# 3
Compound: SiBiF2
Source: Alexandria
Functional: PBEsol
Structure: optimized geometry

- Raw formation energy: -1.01 eV per atom
- SG: R-3m, No. 166
- Crystal system: trigonal

abc: 3.3543 3.3543 8.9748
angles: 79.23 79.23 60.00
Closest atoms and distances in Å follow each position.
Fractional coordinates of all 4 atoms:
Si1 0.5000 0.5000 0.5000  6 F 2.19
Bi1 0.0000 0.0000 0.0000  6 Bi 3.35
F1 0.7943 0.7943 0.6171  3 Si 2.19
F2 0.2057 0.2057 0.3829  3 Si 2.19

***

# 4
Compound: Ir2PbCl
Source: Alexandria
Functional: PBEsol
Structure: optimized geometry

- Raw formation energy: 0.93 eV per atom
- SG: I4/mmm, No. 139
- Crystal system: tetragonal
- Excess energy over the best structure of this formula in the dataset: 173 meV per atom

abc: 4.2325 4.8270 4.2325
angles: 116.00 90.00 116.00
Closest atoms and distances in Å follow each position.
Fractional coordinates of all 4 atoms:
Pb1 0.5000 0.0000 0.5000  8 Ir 2.84, 4 Cl 2.99
Ir1 0.7500 0.5000 0.2500  4 Pb 2.84, 4 Cl 2.84, 4 Ir 2.99
Ir2 0.2500 0.5000 0.7500  4 Pb 2.84, 4 Cl 2.84, 4 Ir 2.99
Cl1 0.0000 0.0000 0.0000  8 Ir 2.84, 4 Pb 2.99

***

# 5
Compound: ZrTlTeCl2
Source: Alexandria
Functional: PBEsol
Structure: optimized geometry

- Raw formation energy: 0.24 eV per atom
- SG: P4/mmm, No. 123
- Crystal system: tetragonal

abc: 5.4616 5.4871 5.4871
angles: 90.00 90.00 90.00
Closest atoms and distances in Å follow each position.
Fractional coordinates of all 5 atoms:
Tl1 0.5000 0.5000 0.5000  8 Cl 3.87, 4 Zr 3.88
Te1 0.0000 0.0000 0.0000  2 Zr 2.73, 4 Cl 2.74
Zr1 0.5000 0.0000 0.0000  2 Te 2.73
Cl1 0.0000 0.0000 0.5000  2 Te 2.74
Cl2 0.0000 0.5000 0.0000  2 Te 2.74

***

# 6
Compound: Na4Si23
Source: Alexandria
Functional: PBEsol
Structure: optimized geometry

- Raw formation energy: -0.02 eV per atom
- SG: Pm-3n, No. 223
- Crystal system: cubic

abc: 10.1754 10.1754 10.1754
angles: 90.00 90.00 90.00
Closest atoms and distances in Å follow each position.
Fractional coordinates of all 54 atoms:
Na1 0.0000 0.2500 0.5000  20 Si 3.42-3.78
Na2 0.0000 0.7500 0.5000  20 Si 3.42-3.78
Na3 0.5000 0.0000 0.7500  20 Si 3.42-3.78
Na4 0.5000 0.0000 0.2500  20 Si 3.42-3.78
Na5 0.7500 0.5000 0.0000  20 Si 3.42-3.78
Na6 0.2500 0.5000 0.0000  20 Si 3.42-3.78
Na7 0.5000 0.5000 0.5000  20 Si 3.24-3.35
Na8 0.0000 0.0000 0.0000  20 Si 3.24-3.35
Si1 0.6841 0.6841 0.3159  4 Si 2.32-2.36
Si2 0.3159 0.6841 0.6841  4 Si 2.32-2.36
Si3 0.8159 0.8159 0.1841  4 Si 2.32-2.36
Si4 0.1841 0.8159 0.8159  4 Si 2.32-2.36
Si5 0.8159 0.1841 0.8159  4 Si 2.32-2.36
Si6 0.3159 0.3159 0.3159  4 Si 2.32-2.36
Si7 0.8159 0.8159 0.8159  4 Si 2.32-2.36
Si8 0.3159 0.6841 0.3159  4 Si 2.32-2.36
Si9 0.3159 0.3159 0.6841  4 Si 2.32-2.36
Si10 0.6841 0.3159 0.3159  4 Si 2.32-2.36
Si11 0.1841 0.1841 0.8159  4 Si 2.32-2.36
Si12 0.8159 0.1841 0.1841  4 Si 2.32-2.36
Si13 0.1841 0.8159 0.1841  4 Si 2.32-2.36
Si14 0.6841 0.6841 0.6841  4 Si 2.32-2.36
Si15 0.0000 0.3080 0.1170  4 Si 2.36-2.38
Si16 0.5000 0.3830 0.8080  4 Si 2.36-2.38
Si17 0.5000 0.6170 0.1920  4 Si 2.36-2.38
Si18 0.6170 0.8080 0.5000  4 Si 2.36-2.38
Si19 0.3830 0.8080 0.5000  4 Si 2.36-2.38
Si20 0.1920 0.5000 0.6170  4 Si 2.36-2.38
Si21 0.8080 0.5000 0.6170  4 Si 2.36-2.38
Si22 0.1170 0.0000 0.3080  4 Si 2.36-2.38
Si23 0.3080 0.1170 0.0000  4 Si 2.36-2.38
Si24 0.6920 0.8830 0.0000  4 Si 2.36-2.38
Si25 0.1170 0.0000 0.6920  4 Si 2.36-2.38
Si26 0.6920 0.1170 0.0000  4 Si 2.36-2.38
Si27 0.8830 0.0000 0.3080  4 Si 2.36-2.38
Si28 0.8830 0.0000 0.6920  4 Si 2.36-2.38
Si29 0.3080 0.8830 0.0000  4 Si 2.36-2.38
Si30 0.0000 0.6920 0.8830  4 Si 2.36-2.38
Si31 0.0000 0.3080 0.8830  4 Si 2.36-2.38
Si32 0.0000 0.6920 0.1170  4 Si 2.36-2.38
Si33 0.8080 0.5000 0.3830  4 Si 2.36-2.38
Si34 0.1920 0.5000 0.3830  4 Si 2.36-2.38
Si35 0.6170 0.1920 0.5000  4 Si 2.36-2.38
Si36 0.3830 0.1920 0.5000  4 Si 2.36-2.38
Si37 0.5000 0.6170 0.8080  4 Si 2.36-2.38
Si38 0.5000 0.3830 0.1920  4 Si 2.36-2.38
Si39 0.6841 0.3159 0.6841  4 Si 2.32-2.36
Si40 0.1841 0.1841 0.1841  4 Si 2.32-2.36
Si41 0.5000 0.2500 0.0000  4 Si 2.38
Si42 0.5000 0.7500 0.0000  4 Si 2.38
Si43 0.0000 0.5000 0.7500  4 Si 2.38
Si44 0.0000 0.5000 0.2500  4 Si 2.38
Si45 0.7500 0.0000 0.5000  4 Si 2.38
Si46 0.2500 0.0000 0.5000  4 Si 2.38

***

# 7
Compound: BaCa2Ni
Source: Alexandria
Functional: PBEsol
Structure: optimized geometry

- Energy of formation from the pure elements: 0.10 eV per atom
- SG: Pm, No. 6
- Crystal system: monoclinic
- Excess energy over the best structure of this formula in the dataset: 0 meV per atom

abc: 3.6499 3.6498 9.7447
angles: 90.02 90.00 90.00
Closest atoms and distances in Å follow each position.
Fractional coordinates of all 4 atoms:
Ni1 0.0000 0.0005 0.4781  4 Ca 2.98, 4 Ba 3.20
Ca1 0.0000 0.9991 0.0235  8 Ca 3.65-3.92
Ca2 0.5000 0.5001 0.3256  4 Ni 2.98
Ba1 0.5000 0.5003 0.6728  4 Ni 3.20, 1 Ca 3.38

***

# 8
Compound: KRuPb2
Source: Alexandria
Functional: PBEsol
Structure: optimized geometry

- Energy of formation from the pure elements: 0.52 eV per atom
- SG: Amm2, No. 38
- Crystal system: orthorhombic

abc: 3.4035 5.1435 7.4855
angles: 90.00 103.09 90.00
Closest atoms and distances in Å follow each position.
Fractional coordinates of all 4 atoms:
K1 0.3212 0.5000 0.7672  2 K 3.40, 6 Pb 3.52-3.73
Pb1 0.9650 0.0000 0.0551  2 Ru 2.65
Pb2 0.6096 0.5000 0.3437  2 Ru 2.57
Ru1 0.6042 0.0000 0.3340  4 Pb 2.57-2.65

***

# 9
Compound: Fe3Pt
Source: Alexandria
Functional: PBEsol
Structure: optimized geometry

- Energy of formation from the pure elements: 0.00 eV per atom
- SG: P2/m, No. 10
- Crystal system: monoclinic

abc: 2.5752 4.0175 4.9286
angles: 90.00 102.30 90.00
Closest atoms and distances in Å follow each position.
Fractional coordinates of all 4 atoms:
Fe1 0.7160 0.0000 0.7650  6 Fe 2.44-2.61, 2 Pt 2.58
Fe2 0.2840 0.0000 0.2350  6 Fe 2.44-2.61, 2 Pt 2.58
Fe3 0.5000 0.5000 0.0000  6 Fe 2.44-2.58, 2 Pt 2.53
Pt1 0.0000 0.5000 0.5000  6 Fe 2.53-2.58, 2 Pt 2.58

***

# 10
Compound: LiCa3As2H
Source: Alexandria
Functional: PBEsol
Structure: optimized geometry

- SG: Pnma, No. 62
- Crystal system: orthorhombic
- DFT total energy: -0.306 Ry per atom

abc: 4.2332 11.3223 11.6960
angles: 90.00 90.00 90.00
Closest atoms and distances in Å follow each position.
Fractional coordinates of all 28 atoms:
Li1 0.7500 0.8678 0.8624  1 H 2.02
Li2 0.7500 0.3678 0.6376  1 H 2.02
Li3 0.2500 0.1322 0.1376  1 H 2.02
Li4 0.2500 0.6322 0.3624  1 H 2.02
Ca1 0.7500 0.9406 0.6223  1 H 2.32
Ca2 0.7500 0.4406 0.8777  1 H 2.32
Ca3 0.2500 0.0594 0.3777  1 H 2.32
Ca4 0.2500 0.5594 0.1223  1 H 2.32
Ca5 0.7500 0.6347 0.5623  1 H 2.38
Ca6 0.7500 0.1347 0.9377  1 H 2.38
Ca7 0.2500 0.3653 0.4377  1 H 2.38
Ca8 0.2500 0.8653 0.0623  1 H 2.38
Ca9 0.7500 0.7898 0.2958  2 H 2.36
Ca10 0.7500 0.2898 0.2042  2 H 2.36
Ca11 0.2500 0.2102 0.7042  2 H 2.36
Ca12 0.2500 0.7102 0.7958  2 H 2.36
As1 0.7500 0.5187 0.3239  2 Li 2.52
As2 0.7500 0.0187 0.1761  2 Li 2.52
As3 0.2500 0.4813 0.6761  2 Li 2.52
As4 0.2500 0.9813 0.8239  2 Li 2.52
As5 0.7500 0.6848 0.9886  1 Li 2.54
As6 0.7500 0.1848 0.5114  1 Li 2.54
As7 0.2500 0.3152 0.0114  1 Li 2.54
As8 0.2500 0.8152 0.4886  1 Li 2.54
H1 0.7500 0.7635 0.7227  1 Li 2.02
H2 0.7500 0.2635 0.7773  1 Li 2.02
H3 0.2500 0.2365 0.2773  1 Li 2.02
H4 0.2500 0.7365 0.2227  1 Li 2.02